No. 1
100
Lattice="7.273 -8.555 0.000 7.273 8.555 0.000 0.000 0.000 9.979" Properties=species:S:1:pos:R:3 comment="Li3Si6NiO15 | the Alexandria database | PBE with a Hubbard U | optimized geometry" mass_density_g_cm3=2.61 sg=Cmce energy_ev_per_atom=-7.040 pbc="T T T"
Li 3.637 4.194 7.484
Li 7.273 7.140 7.532
Li 3.603 0.000 4.989
Li 3.670 0.000 0.000
Li 7.273 1.415 2.543
Li 3.637 -4.194 2.495
Li 10.910 4.194 7.484
Li 7.273 -1.415 7.436
Li 10.877 0.000 0.000
Li 10.943 0.000 4.989
Li 7.273 -7.140 2.447
Li 10.910 -4.194 2.495
Si 5.721 6.322 0.060
Si 1.573 1.109 6.941
Si 5.733 5.364 5.489
Si 1.573 -1.109 3.038
Si 5.733 3.191 0.499
Si 8.826 6.322 0.060
Si 5.721 2.233 5.049
Si 8.813 5.364 5.489
Si 5.700 1.109 8.027
Si 8.813 3.191 0.499
Si 5.700 -1.109 1.952
Si 8.826 2.233 5.049
Si 5.721 -2.233 4.930
Si 8.847 1.109 8.027
Si 5.733 -3.191 9.479
Si 8.847 -1.109 1.952
Si 5.733 -5.364 4.490
Si 8.826 -2.233 4.930
Si 5.721 -6.322 9.919
Si 8.813 -3.191 9.479
Si 12.973 1.109 6.941
Si 8.813 -5.364 4.490
Si 12.973 -1.109 3.038
Si 8.826 -6.322 9.919
Ni 3.637 1.513 2.495
Ni 3.637 -1.513 7.484
Ni 10.910 1.513 2.495
Ni 10.910 -1.513 7.484
O 4.720 5.531 6.714
O 5.483 6.323 4.198
O 1.858 1.925 8.336
O 7.273 7.991 2.986
O 2.538 1.384 0.864
O 7.273 6.757 9.609
O 5.630 4.701 9.856
O 4.720 3.024 1.725
O 2.487 0.158 3.362
O 5.630 3.853 4.866
O 7.273 5.679 6.060
O 2.487 -0.158 6.616
O 1.858 -1.925 1.643
O 4.735 1.384 4.126
O 5.483 2.232 9.187
O 9.063 6.323 4.198
O 2.538 -1.384 9.115
O 5.415 1.925 6.632
O 4.786 0.158 1.627
O 7.273 2.876 1.070
O 4.786 -0.158 8.352
O 8.916 4.701 9.856
O 9.826 5.531 6.714
O 8.916 3.853 4.866
O 7.273 1.798 4.620
O 4.735 -1.384 5.853
O 7.273 0.564 7.975
O 5.415 -1.925 3.346
O 9.063 2.232 9.187
O 9.826 3.024 1.725
O 4.720 -3.024 8.254
O 5.483 -2.232 0.792
O 9.131 1.925 6.632
O 7.273 -0.564 2.003
O 9.811 1.384 4.126
O 7.273 -1.798 5.358
O 5.630 -3.853 5.112
O 4.720 -5.531 3.264
O 5.630 -4.701 0.123
O 9.760 0.158 1.627
O 7.273 -2.876 8.908
O 9.760 -0.158 8.352
O 9.131 -1.925 3.346
O 12.008 1.384 0.864
O 5.483 -6.323 5.781
O 9.063 -2.232 0.792
O 9.811 -1.384 5.853
O 12.688 1.925 8.336
O 12.060 0.158 3.362
O 7.273 -5.679 3.919
O 8.916 -3.853 5.112
O 12.060 -0.158 6.616
O 9.826 -3.024 8.254
O 8.916 -4.701 0.123
O 7.273 -6.757 0.369
O 12.008 -1.384 9.115
O 7.273 -7.991 6.993
O 12.688 -1.925 1.643
O 9.063 -6.323 5.781
O 9.826 -5.531 3.264

=====

No. 2
20
Lattice="5.014 0.000 0.000 -1.809 5.472 0.000 -0.698 -2.010 5.964" Properties=species:S:1:pos:R:3 comment="Li3SiNiO5 | the Alexandria database | PBE with a Hubbard U | optimized geometry" mass_density_g_cm3=3.81 sg=P-1 energy_ev_per_atom=-5.812 de_polymorph_mev_per_atom=23.3 pbc="T T T"
Li 0.000 0.000 0.000
Li -0.905 2.736 0.000
Li -0.006 1.361 2.353
Li -0.032 2.760 4.776
Li 2.538 0.702 1.188
Li 2.512 2.101 3.611
Si 0.905 0.042 4.783
Si 1.601 3.420 1.181
Ni -0.902 4.112 2.389
Ni 3.408 -0.650 3.575
O -0.634 0.861 4.216
O -1.628 3.945 4.194
O 0.062 4.304 0.757
O 0.980 1.838 0.516
O 1.617 0.285 3.137
O 0.889 3.177 2.827
O 1.526 1.624 5.448
O 2.444 -0.842 5.206
O 4.134 -0.483 1.770
O 3.140 2.601 1.748

=====

No. 3
15
Lattice="5.073 0.000 0.000 0.000 5.527 0.000 -1.880 0.000 4.817" Properties=species:S:1:pos:R:3 comment="Li3SiNi3O8 | the Alexandria database | PBE with a Hubbard U | optimized geometry" mass_density_g_cm3=4.34 sg=P2/m energy_ev_per_atom=-5.460 pbc="T T T"
Li 0.000 0.000 0.000
Li 2.537 1.413 0.000
Li 2.537 4.114 0.000
Si 1.597 2.764 2.409
Ni -0.940 1.392 2.409
Ni -0.940 4.135 2.409
Ni 1.597 0.000 2.409
O -0.227 0.000 3.486
O 0.019 2.764 3.356
O 0.934 1.447 1.372
O 0.934 4.080 1.372
O 2.259 1.447 3.445
O 2.259 4.080 3.445
O 3.174 2.764 1.461
O 3.421 0.000 1.331